{
  "formula": "CsLi2Ag2",
  "functional": "SCAN",
  "state": "single point on PBEsol structure",
  "lattice_angstrom": [[-1.509, -2.722, -3.566], [-3.037, -2.149, 2.926], [-1.805, 6.413, -0.991]],
  "species": ["Cs", "Ag", "Ag", "Li", "Li"],
  "frac_coords": [[0.000, 0.000, 0.000], [0.379, 0.379, 0.759], [0.621, 0.621, 0.241], [0.250, 0.750, 0.500], [0.750, 0.250, 0.500]],
  "e_form_mev_per_atom": 29,
  "total_magnetization_mub_per_cell": 0.000
}

---

{
  "formula": "CsMnAg3",
  "functional": "SCAN",
  "state": "single point on PBEsol structure",
  "lattice_angstrom": [[-5.668, -0.189, 0.465], [0.474, -0.266, 5.665], [-0.167, 5.681, 0.281]],
  "species": ["Cs", "Mn", "Ag", "Ag", "Ag"],
  "frac_coords": [[0.000, 0.000, 0.000], [0.500, 0.500, 0.500], [0.000, 0.500, 0.000], [0.000, 0.000, 0.500], [0.500, 0.000, 0.000]],
  "e_form_mev_per_atom": 1667,
  "total_magnetization_mub_per_cell": 4.734
}

---

{
  "formula": "CsAgMo3",
  "functional": "SCAN",
  "state": "single point on PBEsol structure",
  "lattice_angstrom": [[-4.832, 1.316, -0.134], [-0.791, -3.280, -3.704], [-1.061, -3.551, 3.371]],
  "species": ["Cs", "Mo", "Mo", "Mo", "Ag"],
  "frac_coords": [[0.500, 0.500, 0.500], [0.000, 0.500, 0.000], [0.000, 0.000, 0.500], [0.500, 0.000, 0.000], [0.000, 0.000, 0.000]],
  "e_form_mev_per_atom": 2585,
  "total_magnetization_mub_per_cell": 11.552
}